ZnCoO3 | PBE with a Hubbard U | optimized geometry

* raw total energy: -51.850 eV for the cell shown

Geometry as extended XYZ:
```
10
Lattice="2.472 1.427 4.589 -2.472 1.427 4.589 0.000 -2.854 4.589" Properties=species:S:1:pos:R:3 pbc="T T T"
Zn 0.000 0.000 1.841
Zn 0.000 0.000 11.928
Co 0.000 0.000 4.669
Co 0.000 0.000 9.099
O -0.979 -1.289 5.643
O -1.606 0.203 8.125
O -0.627 1.492 5.643
O 0.627 -1.492 8.125
O 1.606 -0.203 5.643
O 0.979 1.289 8.125
```